Density functional theory data (SCAN) for a PBEsol-optimized structure of NaBiI2N.

It has space group P4/mmm (No. 123), with a = 6.310 Å, b = 6.310 Å, c = 4.174 Å, α = 90.00°, β = 90.00° and γ = 90.00°. The inequivalent atoms are Na at (0.000, 0.000, 0.000), Bi at (0.500, 0.500, 0.500), I at (0.000, 0.500, 0.500) and N at (0.500, 0.500, 0.000).

The calculation puts the density of states at the Fermi level at 0.5401 states/eV/atom. The energy above the lowest structure with this stoichiometry comes out at 0.00 eV/f.u.